Run a
Compound: YCd2Tc
Source: the Alexandria database
Functional: GGA-PBE
Structure: relaxed

a = 5.3556 Å, b = 5.3556 Å, c = 5.1319 Å
α = 69.60°, β = 69.60°, γ = 38.14°
Positions (direct):
Tc (0.5094, 0.5094, 0.5528)
Cd (0.9884, 0.9884, 0.0403)
Cd (0.2324, 0.2324, 0.2172)
Y (0.7698, 0.7698, 0.6896)

calculated volume	21.1	A^3/atom
space group	Cm, No. 8



Run b
Compound: YCd2Tc
Source: the Alexandria database
Functional: GGA-PBE
Structure: relaxed

a = 4.8375 Å, b = 3.0509 Å, c = 5.6579 Å
α = 85.74°, β = 90.00°, γ = 90.00°
Positions (direct):
Tc (0.0000, 0.5046, 0.4870)
Cd (0.0000, 0.1411, 0.9979)
Cd (0.5000, 0.1566, 0.2666)
Y (0.5000, 0.6977, 0.7485)

calculated volume	20.8	A^3/atom
space group	Pm, No. 6



Energy ordering: run a at the bottom, the next structure 5.6 kJ/mol of atoms above.



Run a
Compound: YCd2Tc
Source: the Alexandria database
Functional: GGA-PBE
Structure: relaxed

a = 5.3993 Å, b = 5.3993 Å, c = 5.3993 Å
α = 132.49°, β = 132.69°, γ = 69.31°
Positions (direct):
Y (0.2498, 0.7498, 0.5000)
Tc (0.4999, 0.4999, 0.0000)
Cd (0.7502, 0.2502, 0.5000)
Cd (0.0002, 0.0002, 0.0000)

calculated volume	20.9	A^3/atom
space group	Imm2, No. 44



Run b
Compound: YCd2Tc
Source: the Alexandria database
Functional: GGA-PBE
Structure: relaxed

a = 3.5392 Å, b = 3.5276 Å, c = 6.9175 Å
α = 90.00°, β = 90.00°, γ = 90.00°
Positions (direct):
Tc (0.0000, 0.0000, 0.4864)
Cd (0.5000, 0.5000, 0.2707)
Cd (0.0000, 0.0000, 0.0298)
Y (0.5000, 0.5000, 0.7131)

calculated volume	21.6	A^3/atom
space group	Pmm2, No. 25



Run c
Compound: YCd2Tc
Source: the Alexandria database
Functional: GGA-PBE
Structure: relaxed

a = 4.1858 Å, b = 4.1858 Å, c = 4.7146 Å
α = 90.00°, β = 90.00°, γ = 90.00°
Positions (direct):
Cd (0.0000, 0.0000, 0.0000)
Cd (0.5000, 0.5000, 0.0000)
Y (0.0000, 0.5000, 0.5000)
Tc (0.5000, 0.0000, 0.5000)

calculated volume	20.7	A^3/atom
space group	P4/mmm, No. 123



Energy ordering: run c at the bottom, the next structure 5.3 kJ/mol of atoms above.



Run a
Compound: YCd2Tc
Source: the Alexandria database
Functional: GGA-PBE
Structure: relaxed

a = 3.7528 Å, b = 3.7528 Å, c = 5.9594 Å
α = 90.00°, β = 90.00°, γ = 90.00°
Positions (direct):
Cd (0.0000, 0.0000, 0.4767)
Cd (0.0000, 0.0000, 0.0233)
Tc (0.5000, 0.5000, 0.2500)
Y (0.5000, 0.5000, 0.7500)

calculated volume	21.0	A^3/atom
space group	P4/mmm, No. 123



Run b
Compound: YCd2Tc
Source: the Alexandria database
Functional: GGA-PBE
Structure: relaxed

a = 10.5001 Å, b = 10.5001 Å, c = 10.5001 Å
α = 16.68°, β = 16.68°, γ = 16.68°
Positions (direct):
Y (0.7500, 0.7500, 0.7500)
Tc (0.2500, 0.2500, 0.2500)
Cd (0.9917, 0.9917, 0.9917)
Cd (0.5083, 0.5083, 0.5083)

calculated volume	20.8	A^3/atom
space group	R-3m, No. 166



Run c
Compound: YCd2Tc
Source: the Alexandria database
Functional: GGA-PBE
Structure: relaxed

a = 4.9121 Å, b = 4.9121 Å, c = 4.9121 Å
α = 60.00°, β = 60.00°, γ = 60.00°
Positions (direct):
Tc (0.5000, 0.5000, 0.5000)
Cd (0.0000, 0.0000, 0.0000)
Cd (0.7500, 0.7500, 0.7500)
Y (0.2500, 0.2500, 0.2500)

calculated volume	21.0	A^3/atom
space group	F-43m, No. 216



Run d
Compound: YCd2Tc
Source: the Alexandria database
Functional: GGA-PBE
Structure: relaxed

a = 5.2856 Å, b = 5.2856 Å, c = 3.2538 Å
α = 90.04°, β = 90.04°, γ = 113.68°
Positions (direct):
Y (0.0000, 0.5000, 0.5000)
Cd (0.5000, 0.5000, 0.0000)
Cd (0.0000, 0.0000, 0.0000)
Tc (0.5000, 0.0000, 0.5000)

calculated volume	20.8	A^3/atom
space group	Cmmm, No. 65



Energy ordering: run a at the bottom, the next structure 5.1 kJ/mol of atoms above.



Run a
Compound: YCd2Tc
Source: the Alexandria database
Functional: GGA-PBE
Structure: relaxed

a = 4.4960 Å, b = 3.0497 Å, c = 6.6982 Å
α = 62.88°, β = 90.00°, γ = 90.00°
Positions (direct):
Cd (0.0000, 0.9787, 0.0209)
Cd (0.0000, 0.5213, 0.4791)
Tc (0.5000, 0.2500, 0.2500)
Y (0.5000, 0.7500, 0.7500)

calculated volume	20.4	A^3/atom
space group	Pmmm, No. 47



Run b
Compound: YCd2Tc
Source: the Alexandria database
Functional: GGA-PBE
Structure: relaxed

a = 5.4658 Å, b = 5.4658 Å, c = 5.4658 Å
α = 134.46°, β = 134.46°, γ = 66.37°
Positions (direct):
Tc (0.2500, 0.7500, 0.5000)
Cd (0.0000, 0.0000, 0.0000)
Cd (0.5000, 0.5000, 0.0000)
Y (0.7500, 0.2500, 0.5000)

calculated volume	20.5	A^3/atom
space group	I4/mmm, No. 139



Run c
Compound: YCd2Tc
Source: the Alexandria database
Functional: GGA-PBE
Structure: relaxed

a = 9.5740 Å, b = 9.5740 Å, c = 9.5740 Å
α = 19.98°, β = 19.98°, γ = 19.98°
Positions (direct):
Y (0.7609, 0.7609, 0.7609)
Cd (0.9972, 0.9972, 0.9972)
Cd (0.2419, 0.2419, 0.2419)
Tc (0.5000, 0.5000, 0.5000)

calculated volume	22.4	A^3/atom
space group	R3m, No. 160



Run d
Compound: YCd2Tc
Source: the Alexandria database
Functional: GGA-PBE
Structure: relaxed

a = 3.2811 Å, b = 3.2811 Å, c = 7.9197 Å
α = 90.00°, β = 90.00°, γ = 90.00°
Positions (direct):
Tc (0.5000, 0.5000, 0.2500)
Y (0.5000, 0.5000, 0.7500)
Cd (0.0000, 0.0000, 0.4655)
Cd (0.0000, 0.0000, 0.0345)

calculated volume	21.3	A^3/atom
space group	P4/mmm, No. 123



Energy ordering: run b at the bottom, the next structure 9.9 kJ/mol of atoms above.



Run a
Compound: YCd2Tc
Source: the Alexandria database
Functional: GGA-PBE
Structure: relaxed

a = 4.9021 Å, b = 4.9021 Å, c = 4.9021 Å
α = 60.00°, β = 60.00°, γ = 60.00°
Positions (direct):
Y (0.0000, 0.0000, 0.0000)
Cd (0.2500, 0.2500, 0.2500)
Cd (0.7500, 0.7500, 0.7500)
Tc (0.5000, 0.5000, 0.5000)

calculated volume	20.8	A^3/atom
space group	Fm-3m, No. 225



Run b
Compound: YCd2Tc
Source: the Alexandria database
Functional: GGA-PBE
Structure: relaxed

a = 4.1350 Å, b = 4.1350 Å, c = 11.0468 Å
α = 79.21°, β = 79.21°, γ = 90.00°
Positions (direct):
Tc (0.0000, 0.0000, 0.0000)
Tc (0.7500, 0.2500, 0.5000)
Cd (0.8750, 0.9035, 0.7500)
Cd (0.6535, 0.1250, 0.2500)
Cd (0.0965, 0.6250, 0.2500)
Cd (0.3750, 0.3465, 0.7500)
Y (0.2500, 0.7500, 0.5000)
Y (0.5000, 0.5000, 0.0000)

calculated volume	22.8	A^3/atom
space group	I-42d, No. 122



Energy ordering: run a at the bottom, the next structure 19.8 kJ/mol of atoms above.



Run a
Compound: YCdTc3
Source: the Alexandria database
Functional: GGA-PBE
Structure: relaxed

a = 4.8915 Å, b = 4.8915 Å, c = 4.8915 Å
α = 90.00°, β = 90.00°, γ = 90.00°
Positions (direct):
Tc (0.0000, 0.5000, 0.0000)
Tc (0.5000, 0.0000, 0.0000)
Tc (0.0000, 0.0000, 0.5000)
Cd (0.0000, 0.0000, 0.0000)
Y (0.5000, 0.5000, 0.5000)

calculated volume	23.4	A^3/atom
space group	Pm-3m, No. 221



Run b
Compound: YCdTc3
Source: the Alexandria database
Functional: GGA-PBE
Structure: relaxed

a = 4.8574 Å, b = 4.8574 Å, c = 4.8574 Å
α = 90.00°, β = 90.00°, γ = 90.00°
Positions (direct):
Cd (0.5000, 0.5000, 0.5000)
Y (0.0000, 0.0000, 0.0000)
Tc (0.0000, 0.5000, 0.0000)
Tc (0.0000, 0.0000, 0.5000)
Tc (0.5000, 0.0000, 0.0000)

calculated volume	22.9	A^3/atom
space group	Pm-3m, No. 221



Energy ordering: run a at the bottom, the next structure 28.4 kJ/mol of atoms above.



Run a
Compound: Y4CdTc
Source: the Alexandria database
Functional: GGA-PBE
Structure: relaxed

a = 6.0958 Å, b = 6.0958 Å, c = 6.0958 Å
α = 60.00°, β = 60.00°, γ = 60.00°
Positions (direct):
Tc (0.0000, 0.0000, 0.0000)
Y (0.3737, 0.3737, 0.8788)
Y (0.8788, 0.3737, 0.3737)
Y (0.3737, 0.8788, 0.3737)
Y (0.3737, 0.3737, 0.3737)
Cd (0.7500, 0.7500, 0.7500)

calculated volume	26.7	A^3/atom
space group	F-43m, No. 216



Run b
Compound: Y4CdTc
Source: the Alexandria database
Functional: GGA-PBE
Structure: relaxed

a = 6.2932 Å, b = 7.7243 Å, c = 7.7243 Å
α = 111.73°, β = 99.14°, γ = 99.14°
Positions (direct):
Y (0.6033, 0.2000, 0.3628)
Y (0.8967, 0.6372, 0.8000)
Y (0.3967, 0.8000, 0.6372)
Y (0.9556, 0.0651, 0.7254)
Y (0.0444, 0.9349, 0.2746)
Y (0.4556, 0.7254, 0.0651)
Y (0.5444, 0.2746, 0.9349)
Y (0.1033, 0.3628, 0.2000)
Tc (0.2500, 0.9987, 0.0013)
Tc (0.7500, 0.0013, 0.9987)
Cd (0.2500, 0.3738, 0.6262)
Cd (0.7500, 0.6262, 0.3738)

calculated volume	27.9	A^3/atom
space group	C2/c, No. 15



Energy ordering: run b at the bottom, the next structure 88.1 kJ/mol of atoms above.



Run a
Compound: ZnCdTc2
Source: the Alexandria database
Functional: GGA-PBE
Structure: relaxed

a = 2.6981 Å, b = 2.6981 Å, c = 9.1250 Å
α = 90.00°, β = 90.00°, γ = 108.16°
Positions (direct):
Tc (0.0000, 0.0000, 0.0152)
Tc (0.0000, 0.0000, 0.4848)
Cd (0.5000, 0.5000, 0.7500)
Zn (0.5000, 0.5000, 0.2500)

calculated volume	15.8	A^3/atom
space group	Cmmm, No. 65



Run b
Compound: ZnCdTc2
Source: the Alexandria database
Functional: GGA-PBE
Structure: relaxed

a = 4.6833 Å, b = 4.6833 Å, c = 5.0951 Å
α = 82.94°, β = 82.94°, γ = 34.99°
Positions (direct):
Tc (0.7515, 0.7515, 0.7745)
Tc (0.0028, 0.0028, 0.9573)
Cd (0.2500, 0.2500, 0.2695)
Zn (0.4957, 0.4957, 0.4988)

calculated volume	15.9	A^3/atom
space group	Cm, No. 8



Run c
Compound: ZnCdTc2
Source: the Alexandria database
Functional: GGA-PBE
Structure: relaxed

a = 2.6878 Å, b = 2.6878 Å, c = 8.7299 Å
α = 90.00°, β = 90.00°, γ = 90.00°
Positions (direct):
Cd (0.5000, 0.5000, 0.7500)
Zn (0.5000, 0.5000, 0.2500)
Tc (0.0000, 0.0000, 0.0173)
Tc (0.0000, 0.0000, 0.4827)

calculated volume	15.8	A^3/atom
space group	P4/mmm, No. 123



Energy ordering: run b at the bottom, the next structure 8.6 kJ/mol of atoms above.



Run a
Compound: ZnCdTc2
Source: the Alexandria database
Functional: GGA-PBE
Structure: relaxed

a = 4.5518 Å, b = 2.6911 Å, c = 5.3013 Å
α = 77.44°, β = 90.00°, γ = 90.00°
Positions (direct):
Tc (0.0000, 0.0030, 0.0167)
Tc (0.0000, 0.4970, 0.4833)
Cd (0.5000, 0.7500, 0.7500)
Zn (0.5000, 0.2500, 0.2500)

calculated volume	15.8	A^3/atom
space group	P2/m, No. 10



Run b
Compound: ZnCdTc2
Source: the Alexandria database
Functional: GGA-PBE
Structure: relaxed

a = 2.7671 Å, b = 2.7671 Å, c = 9.4158 Å
α = 90.00°, β = 90.00°, γ = 115.79°
Positions (direct):
Tc (0.5000, 0.5000, 0.2447)
Tc (0.0000, 0.0000, 0.0220)
Cd (0.5000, 0.5000, 0.7508)
Zn (0.0000, 0.0000, 0.4825)

calculated volume	16.2	A^3/atom
space group	Cmm2, No. 35



Energy ordering: run b at the bottom, the next structure 12.9 kJ/mol of atoms above.



Run a
Compound: ZnCdTc2
Source: the Alexandria database
Functional: GGA-PBE
Structure: relaxed

a = 5.1405 Å, b = 5.1405 Å, c = 2.7223 Å
α = 90.00°, β = 90.00°, γ = 118.10°
Positions (direct):
Zn (0.5000, 0.0000, 0.5000)
Tc (0.0000, 0.0000, 0.0000)
Tc (0.5000, 0.5000, 0.0000)
Cd (0.0000, 0.5000, 0.5000)

calculated volume	15.9	A^3/atom
space group	Cmmm, No. 65



Run b
Compound: ZnCdTc2
Source: the Alexandria database
Functional: GGA-PBE
Structure: relaxed

a = 4.4547 Å, b = 4.4547 Å, c = 4.4547 Å
α = 60.00°, β = 60.00°, γ = 60.00°
Positions (direct):
Zn (0.0000, 0.0000, 0.0000)
Cd (0.5000, 0.5000, 0.5000)
Tc (0.2500, 0.2500, 0.2500)
Tc (0.7500, 0.7500, 0.7500)

calculated volume	15.6	A^3/atom
space group	Fm-3m, No. 225



Run c
Compound: ZnCdTc2
Source: the Alexandria database
Functional: GGA-PBE
Structure: relaxed

a = 5.3301 Å, b = 5.3301 Å, c = 5.3301 Å
α = 145.68°, β = 131.89°, γ = 60.42°
Positions (direct):
Cd (0.2500, 0.7500, 0.5000)
Zn (0.7500, 0.2500, 0.5000)
Tc (0.9901, 0.9901, 0.0000)
Tc (0.5099, 0.5099, 0.0000)

calculated volume	15.7	A^3/atom
space group	Immm, No. 71



Run d
Compound: ZnCdTc2
Source: the Alexandria database
Functional: GGA-PBE
Structure: relaxed

a = 3.1996 Å, b = 4.2886 Å, c = 4.6012 Å
α = 90.00°, β = 90.00°, γ = 90.00°
Positions (direct):
Zn (0.5000, 0.0000, 0.5000)
Tc (0.5000, 0.5000, 0.0000)
Tc (0.0000, 0.0000, 0.0000)
Cd (0.0000, 0.5000, 0.5000)

calculated volume	15.8	A^3/atom
space group	Pmmm, No. 47



Energy ordering: run c at the bottom, the next structure 1.9 kJ/mol of atoms above.



Run a
Compound: ZnCd3Tc
Source: the Alexandria database
Functional: GGA-PBE
Structure: relaxed

a = 5.3462 Å, b = 5.3462 Å, c = 5.3462 Å
α = 90.00°, β = 90.00°, γ = 90.00°
Positions (direct):
Cd (0.5000, 0.0000, 0.0000)
Cd (0.0000, 0.0000, 0.5000)
Cd (0.0000, 0.5000, 0.0000)
Tc (0.0000, 0.0000, 0.0000)
Zn (0.5000, 0.5000, 0.5000)

calculated volume	30.6	A^3/atom
space group	Pm-3m, No. 221



Run b
Compound: ZnCd3Tc
Source: the Alexandria database
Functional: GGA-PBE
Structure: relaxed

a = 4.9173 Å, b = 4.9173 Å, c = 4.9173 Å
α = 90.00°, β = 90.00°, γ = 90.00°
Positions (direct):
Cd (0.5000, 0.0000, 0.0000)
Cd (0.0000, 0.0000, 0.5000)
Cd (0.0000, 0.5000, 0.0000)
Zn (0.0000, 0.0000, 0.0000)
Tc (0.5000, 0.5000, 0.5000)

calculated volume	23.8	A^3/atom
space group	Pm-3m, No. 221



Energy ordering: run a at the bottom, the next structure 9.2 kJ/mol of atoms above.